[1]
Cr2FeTc: optimized geometry, PBE.

## Properties
Offset from the most stable computed form (meV/atom): 66.1
DFT total energy (eV/atom): -9.35
DOS(E_F) (states/eV/f.u.): 5.06
Energy of formation (eV per atom): 0.16

Unit cell a=3.6890 b=3.6890 c=3.6097 alpha=90.00 beta=90.00 gamma=90.00
Space group P4/mmm (No. 123)
Symmetry-distinct sites (fractional):
1 Cr 0.0000 0.5000 0.0000 (multiplicity 2)
2 Fe 0.0000 0.0000 0.5000 (multiplicity 1)
3 Tc 0.5000 0.5000 0.5000 (multiplicity 1)

***

[2]
BePt3: optimized geometry, PBE.

## Properties
DFT total energy (eV/atom): -5.66
DOS(E_F) (states/eV/f.u.): 5.27
Energy of formation (eV per atom): -0.20

Unit cell a=3.8774 b=3.8774 c=7.6199 alpha=90.00 beta=90.00 gamma=90.00
Space group I4/mmm (No. 139)
Symmetry-distinct sites (fractional):
1 Be 0.0000 0.0000 0.0000 (multiplicity 2)
2 Pt 0.0000 0.0000 0.5000 (multiplicity 2)
3 Pt 0.0000 0.5000 0.2500 (multiplicity 4)

***

no.,volume (Å³/cell)
1,49.12
2,114.56